Record 1
VASP calculation (PBE) on a geometry-optimized Ac2TbRh2I2 structure.

The space group is I4/mmm (No. 139) and the conventional cell measures 5.171, 5.171 and 17.609 Å, with angles of 90.00, 90.00 and 90.00 degrees. The asymmetric unit holds Ac at (0.000, 0.000, 0.107), Tb at (0.000, 0.000, 0.500), Rh at (0.000, 0.500, 0.000) and I at (0.000, 0.000, 0.310).

As for the total magnetization: 0.0 μB per formula unit. As for the formation energy without anion corrections: -0.840 eV/atom.

***

Record 2
VASP calculation (PBE) on a geometry-optimized Ac8TcRh3I4 structure.

The space group is C2/m (No. 12) and the conventional cell measures 15.129, 8.727 and 10.046 Å, with angles of 90.00, 120.20 and 90.00 degrees. The asymmetric unit holds Ac at (0.020, 0.246, 0.314), Ac at (0.226, 0.000, 0.686), Ac at (0.228, 0.500, 0.683), Tc at (0.000, 0.000, 0.500), Rh at (0.000, 0.500, 0.500), Rh at (0.250, 0.250, 0.500), I at (0.000, 0.000, 0.000), I at (0.000, 0.500, 0.000) and I at (0.250, 0.250, 0.000).

As for the total magnetization: 0.0 μB per formula unit. As for the formation energy without anion corrections: -0.863 eV/atom.

***

Record 3
VASP calculation (PBE) on a geometry-optimized Ac4TeRhI2 structure.

The space group is P2/m (No. 10) and the conventional cell measures 8.532, 4.407 and 8.703 Å, with angles of 90.00, 106.09 and 90.00 degrees. The asymmetric unit holds Ac at (0.196, 0.000, 0.188), Ac at (0.230, 0.500, 0.793), Te at (0.500, 0.000, 0.000), Rh at (0.000, 0.500, 0.000), I at (0.000, 0.000, 0.500) and I at (0.500, 0.500, 0.500).

As for the total magnetization: 0.0 μB per formula unit. As for the formation energy without anion corrections: -1.069 eV/atom.

***

Record 4
VASP calculation (PBE) on a geometry-optimized Ac3TeRhI structure.

The space group is P2_1/m (No. 11) and the conventional cell measures 8.888, 4.175 and 12.149 Å, with angles of 90.00, 107.52 and 90.00 degrees. The asymmetric unit holds Ac at (0.020, 0.250, 0.298), Ac at (0.221, 0.250, 0.044), Ac at (0.334, 0.750, 0.576), Te at (0.333, 0.750, 0.285), Rh at (0.093, 0.250, 0.560) and I at (0.364, 0.750, 0.872).

As for the total magnetization: 0.0 μB per formula unit. As for the formation energy without anion corrections: -0.949 eV/atom.

***

Record 5
VASP calculation (PBE) on a geometry-optimized Ac4Te2RhI structure.

The space group is P2/m (No. 10) and the conventional cell measures 8.267, 4.461 and 8.336 Å, with angles of 90.00, 107.04 and 90.00 degrees. The asymmetric unit holds Ac at (0.211, 0.000, 0.205), Ac at (0.242, 0.500, 0.774), Te at (0.500, 0.000, 0.000), Te at (0.500, 0.500, 0.500), Rh at (0.000, 0.500, 0.000) and I at (0.000, 0.000, 0.500).

As for the total magnetization: 0.0 μB per formula unit. As for the formation energy without anion corrections: -1.132 eV/atom.

***

Record 6
VASP calculation (PBE) on a geometry-optimized Ac2ThRh2I2 structure.

The space group is I4/mmm (No. 139) and the conventional cell measures 5.235, 5.235 and 17.791 Å, with angles of 90.00, 90.00 and 90.00 degrees. The asymmetric unit holds Ac at (0.000, 0.000, 0.110), Th at (0.000, 0.000, 0.500), Rh at (0.000, 0.500, 0.000) and I at (0.000, 0.000, 0.308).

As for the total magnetization: 0.0 μB per formula unit. As for the formation energy without anion corrections: -0.897 eV/atom.